Entry 1:
# BaNiRh2 PBE relaxed
# E_tot	-21.1	eV per cell
# energy of formation	0.32	eV/atom
data_BaNiRh2
_space_group_name_H-M_alt 'P m m 2'
_space_group_IT_number 25
_cell_length_a 3.049
_cell_length_b 3.523
_cell_length_c 7.173
_cell_angle_alpha 90.00
_cell_angle_beta 90.00
_cell_angle_gamma 90.00
loop_
_space_group_symop_operation_xyz
'x,y,z'
'-x,-y,z'
'-x,y,z'
'x,-y,z'
loop_
_atom_site_label
_atom_site_type_symbol
_atom_site_fract_x
_atom_site_fract_y
_atom_site_fract_z
Ba1 Ba 0.000 0.000 0.000
Ni1 Ni 0.500 0.500 0.324
Rh1 Rh 0.000 0.000 0.480
Rh2 Rh 0.500 0.500 0.671

=====

Entry 2:
# KAlPb PBE relaxed
# E_tot	-32.4	eV per cell
# energy of formation	0.15	eV/atom
data_KAlPb
_space_group_name_H-M_alt 'P 41 2 2'
_space_group_IT_number 91
_cell_length_a 8.267
_cell_length_b 8.267
_cell_length_c 7.995
_cell_angle_alpha 90.00
_cell_angle_beta 90.00
_cell_angle_gamma 90.00
loop_
_space_group_symop_operation_xyz
'x,y,z'
'-y,x,z+1/4'
'-x,-y,z+1/2'
'y,-x,z+3/4'
'x,-y,-z+1/2'
'-y,-x,-z+1/4'
'-x,y,-z'
'y,x,-z+3/4'
loop_
_atom_site_label
_atom_site_type_symbol
_atom_site_fract_x
_atom_site_fract_y
_atom_site_fract_z
K1 K 0.000 0.348 0.000
Al1 Al 0.378 0.378 0.375
Pb1 Pb 0.293 0.500 0.750

=====

Entry 3:
# LiNbRe3 PBE relaxed
# E_tot	-38.2	eV per cell
# energy of formation	2.22	eV/atom
data_LiNbRe3
_space_group_name_H-M_alt 'P m -3 m'
_space_group_IT_number 221
_space_group_name_Hall '-P 4 2 3'
_cell_length_a 4.802
_cell_length_b 4.802
_cell_length_c 4.802
_cell_angle_alpha 90.00
_cell_angle_beta 90.00
_cell_angle_gamma 90.00
loop_
_atom_site_label
_atom_site_type_symbol
_atom_site_fract_x
_atom_site_fract_y
_atom_site_fract_z
Li1 Li 0.000 0.000 0.000
Nb1 Nb 0.500 0.500 0.500
Re1 Re 0.000 0.500 0.500

=====

Entry 4:
# Sc2ReRh PBE relaxed
# E_tot	-34.2	eV per cell
# energy of formation	-0.44	eV/atom
data_Sc2ReRh
_space_group_name_H-M_alt 'P 4/m m m'
_space_group_IT_number 123
_space_group_name_Hall '-P 4 2'
_cell_length_a 3.218
_cell_length_b 3.218
_cell_length_c 6.598
_cell_angle_alpha 90.00
_cell_angle_beta 90.00
_cell_angle_gamma 90.00
loop_
_atom_site_label
_atom_site_type_symbol
_atom_site_fract_x
_atom_site_fract_y
_atom_site_fract_z
Sc1 Sc 0.000 0.000 0.249
Re1 Re 0.500 0.500 0.000
Rh1 Rh 0.500 0.500 0.500

=====

Entry 5:
# BaNaS2Cl PBE relaxed
# uncorrected formation energy	-688	meV per atom
# E_tot	-16.8	eV per cell
data_BaNaS2Cl
_space_group_name_H-M_alt 'P 4/m m m'
_space_group_IT_number 123
_space_group_name_Hall '-P 4 2'
_cell_length_a 6.026
_cell_length_b 6.026
_cell_length_c 6.005
_cell_angle_alpha 90.00
_cell_angle_beta 90.00
_cell_angle_gamma 90.00
loop_
_atom_site_label
_atom_site_type_symbol
_atom_site_fract_x
_atom_site_fract_y
_atom_site_fract_z
Ba1 Ba 0.000 0.000 0.000
Na1 Na 0.500 0.500 0.500
S1 S 0.000 0.500 0.000
Cl1 Cl 0.000 0.000 0.500

=====

Entry 6:
# Rb2Cd2Sb PBE relaxed
# uncorrected formation energy	-73	meV per atom
# E_tot	-16.5	eV per cell
data_Rb2Cd2Sb
_space_group_name_H-M_alt 'I 4/m m m'
_space_group_IT_number 139
_space_group_name_Hall '-I 4 2'
_cell_length_a 4.121
_cell_length_b 4.121
_cell_length_c 23.759
_cell_angle_alpha 90.00
_cell_angle_beta 90.00
_cell_angle_gamma 90.00
loop_
_atom_site_label
_atom_site_type_symbol
_atom_site_fract_x
_atom_site_fract_y
_atom_site_fract_z
Rb1 Rb 0.000 0.000 0.098
Cd1 Cd 0.000 0.500 0.250
Sb1 Sb 0.000 0.000 0.500